[1]
Entry from Alexandria via LeMat-Bulk: a relaxed In2Hg5H4 crystal (GGA-PBE).

Cell: 3.861 7.598 8.333 Å, 98.18 100.79 92.02°
Element x y z (fractional)
In (0.073, 0.131, 0.165)
In (0.927, 0.869, 0.835)
Hg (0.156, 0.515, 0.333)
Hg (0.284, 0.170, 0.560)
Hg (0.500, 0.500, 0.000)
Hg (0.716, 0.830, 0.440)
Hg (0.844, 0.485, 0.667)
H (0.025, 0.868, 0.077)
H (0.414, 0.866, 0.805)
H (0.586, 0.134, 0.195)
H (0.975, 0.132, 0.923)

energy = -0.1221 Ry per atom
space-group type = P-1 (2)
density = 8.7 g/cm3

=====

[2]
Entry from Alexandria via LeMat-Bulk: a relaxed InHg8H6 crystal (GGA-PBE).

Cell: 6.545 6.620 8.243 Å, 82.75 73.11 70.49°
Element x y z (fractional)
In (0.000, 0.000, 0.000)
Hg (0.034, 0.843, 0.652)
Hg (0.124, 0.398, 0.813)
Hg (0.354, 0.630, 0.251)
Hg (0.432, 0.907, 0.690)
Hg (0.568, 0.093, 0.310)
Hg (0.646, 0.370, 0.749)
Hg (0.876, 0.602, 0.187)
Hg (0.966, 0.157, 0.348)
H (0.273, 0.135, 0.312)
H (0.287, 0.538, 0.454)
H (0.408, 0.734, 0.051)
H (0.592, 0.266, 0.949)
H (0.713, 0.462, 0.546)
H (0.727, 0.865, 0.688)

energy = -0.1032 Ry per atom
space-group type = P-1 (2)
density = 8.9 g/cm3

=====

[3]
Entry from Alexandria via LeMat-Bulk: a relaxed InHgH3 crystal (GGA-PBE).

Cell: 4.092 4.092 4.092 Å, 90.00 90.00 90.00°
Element x y z (fractional)
In (0.000, 0.000, 0.000)
Hg (0.500, 0.500, 0.500)
H (0.000, 0.500, 0.500)
H (0.500, 0.000, 0.500)
H (0.500, 0.500, 0.000)

space-group type = Pm-3m (221)
polymorph energy (0 for the lowest one) = 76 meV per atom
density = 7.7 g/cm3